Record 1
Tl2CdBr, relaxed, DFT PBE; M_tot = 0.0 μB per cell; space-group type = P4mm (99); total DFT energy (no corrections) = -8.5 eV/cell; energy relative to the lowest polymorph listed for this composition = 0.000 eV per atom
1.0
4.570 0.000 0.000
0.000 4.570 0.000
0.000 0.000 6.427
Tl Cd Br
2 1 1
direct
0.000 0.000 0.000 Tl
0.500 0.500 0.499 Tl
0.500 0.500 0.999 Cd
0.000 0.000 0.500 Br



Record 2
CsNiTe2I, relaxed, DFT PBE; M_tot = 3.1 μB per cell; space-group type = P4/mmm (123); total DFT energy (no corrections) = -7.9 eV/cell; energy relative to the lowest polymorph listed for this composition = 1.588 eV per atom
1.0
6.449 0.000 0.000
0.000 6.449 0.000
0.000 0.000 7.014
Cs Ni Te I
1 1 2 1
direct
0.000 0.000 0.000 Cs
0.500 0.500 0.500 Ni
0.000 0.500 0.000 Te
0.500 0.000 0.000 Te
0.000 0.000 0.500 I



Record 3
Na3In12Pb, relaxed, DFT PBE; M_tot = 0.0 μB per cell; energy of formation from the pure elements = -0.0544 eV per atom; space-group type = P4/mmm (123); total DFT energy (no corrections) = -41.4 eV/cell
1.0
4.801 0.000 0.000
0.000 4.801 0.000
0.000 0.000 18.529
Na In Pb
3 12 1
direct
0.000 0.000 0.000 Na
0.000 0.000 0.246 Na
0.000 0.000 0.754 Na
0.000 0.500 0.123 In
0.000 0.500 0.370 In
0.000 0.500 0.630 In
0.000 0.500 0.877 In
0.500 0.000 0.123 In
0.500 0.000 0.370 In
0.500 0.000 0.630 In
0.500 0.000 0.877 In
0.500 0.500 0.000 In
0.500 0.500 0.246 In
0.500 0.500 0.500 In
0.500 0.500 0.754 In
0.000 0.000 0.500 Pb



Record 4
TbNdYTh2, relaxed, DFT PBE; M_tot = 0.0 μB per cell; energy of formation from the pure elements = 0.4161 eV per atom; space-group type = Cmcm (63); total DFT energy (no corrections) = -57.2 eV/cell
1.0
3.339 -7.923 0.000
3.339 7.923 0.000
0.000 0.000 6.700
Tb Nd Y Th
2 2 2 4
direct
0.224 0.776 0.750 Tb
0.776 0.224 0.250 Tb
0.349 0.651 0.250 Nd
0.651 0.349 0.750 Nd
0.153 0.847 0.250 Y
0.847 0.153 0.750 Y
0.245 0.245 0.000 Th
0.245 0.245 0.500 Th
0.755 0.755 0.000 Th
0.755 0.755 0.500 Th



Record 5
NbNiAu, relaxed, DFT PBE; M_tot = 0.0 μB per cell; energy of formation from the pure elements = -0.1756 eV per atom; space-group type = C2/m (12); total DFT energy (no corrections) = -39.3 eV/cell; energy relative to the lowest polymorph listed for this composition = 0.000 eV per atom
1.0
4.597 -1.484 0.000
4.597 1.484 0.000
-3.114 0.000 6.847
Nb Ni Au
2 2 2
direct
0.004 0.004 0.280 Nb
0.996 0.996 0.720 Nb
0.330 0.330 0.425 Ni
0.670 0.670 0.575 Ni
0.332 0.332 0.905 Au
0.668 0.668 0.095 Au



Record 6
AlCu2, relaxed, DFT PBE; M_tot = 0.0 μB per cell; energy of formation from the pure elements = -0.1690 eV per atom; space-group type = Cm (8); total DFT energy (no corrections) = -24.9 eV/cell
1.0
4.748 -1.363 0.000
4.748 1.363 0.000
-1.492 0.000 5.996
Al Cu
2 4
direct
0.000 0.000 0.000 Al
0.685 0.685 0.367 Al
0.058 0.058 0.617 Cu
0.339 0.339 0.684 Cu
0.398 0.398 0.283 Cu
0.722 0.722 0.957 Cu



Record 7
NdCuPt3, relaxed, DFT PBE; M_tot = 0.0 μB per cell; energy of formation from the pure elements = -0.1104 eV per atom; space-group type = Cmcm (63); total DFT energy (no corrections) = -55.1 eV/cell; energy relative to the lowest polymorph listed for this composition = 0.505 eV per atom
1.0
3.480 -6.711 0.000
3.480 6.711 0.000
0.000 0.000 5.294
Nd Cu Pt
2 2 6
direct
0.118 0.882 0.750 Nd
0.882 0.118 0.250 Nd
0.334 0.666 0.750 Cu
0.666 0.334 0.250 Cu
0.109 0.264 0.750 Pt
0.264 0.109 0.250 Pt
0.500 0.500 0.000 Pt
0.500 0.500 0.500 Pt
0.736 0.891 0.750 Pt
0.891 0.736 0.250 Pt



Record 8
Sm4CuSe5, relaxed, DFT PBE; M_tot = 0.0 μB per cell; space-group type = R-3m (166); total DFT energy (no corrections) = -55.5 eV/cell
1.0
2.071 1.196 16.509
-2.071 1.196 16.509
0.000 -2.391 16.509
Sm Cu Se
4 1 5
direct
0.105 0.105 0.105 Sm
0.298 0.298 0.298 Sm
0.702 0.702 0.702 Sm
0.895 0.895 0.895 Sm
0.500 0.500 0.500 Cu
0.000 0.000 0.000 Se
0.195 0.195 0.195 Se
0.403 0.403 0.403 Se
0.597 0.597 0.597 Se
0.805 0.805 0.805 Se